A plane-wave DFT calculation with PBE was carried out for an optimized crystal structure of Rb2GaAgBi2.

Summary:
Formation enthalpy at 0 K (eV per atom): -0.222
Raw total energy (eV for the cell shown): -33.82
Symmetry: No. 72
M_tot (Bohr magnetons per cell): 0.0

abc: 9.896 9.896 9.896
angles: 138.03 60.75 138.17
Fractional coordinates of all 12 atoms:
1 Rb 0.165 0.235 0.400
2 Rb 0.335 0.735 0.070
3 Rb 0.665 0.265 0.930
4 Rb 0.835 0.765 0.600
5 Ga 0.250 0.750 0.500
6 Ga 0.750 0.250 0.500
7 Ag 0.250 0.250 0.000
8 Ag 0.750 0.750 0.000
9 Bi 0.095 0.730 0.825
10 Bi 0.405 0.230 0.635
11 Bi 0.595 0.770 0.365
12 Bi 0.905 0.270 0.175